Entry 1:
Compound: KEr2H
Source: Alexandria
Functional: PBE
Structure: relaxed

Values from the calculation:
Its space group is R-3m. The value obtained for the total magnetization is 0.5 Bohr magnetons per cell. Its total energy is -3.3204 eV/atom.

a b c (Å): 3.589 3.589 10.325
angles (deg): 79.99 79.99 60.00
Site moments in Bohr magnetons follow the coordinates.
Positions (direct):
K 0.000 0.000 0.000  0.01
Er 0.124 0.124 0.628  0.12
H 0.500 0.500 0.500  0.00
Er 0.876 0.876 0.372  0.12

***

Entry 2:
Compound: Nd23Cd4Ru7
Source: Alexandria
Functional: PBE
Structure: relaxed

Values from the calculation:
Its space group is P6_3mc. The value obtained for the total magnetization is 0.0 Bohr magnetons per cell. Its total energy is -5.4928 eV/atom. The value obtained for the calculated formation energy is -0.25 eV/atom.

a b c (Å): 10.003 10.003 22.428
angles (deg): 90.00 90.00 120.00
Positions (direct):
Ru 0.966 0.483 0.710
Nd 0.207 0.793 0.447
Nd 0.586 0.793 0.720
Cd 0.212 0.106 0.363
Nd 0.000 0.000 0.000
Nd 0.793 0.207 0.947
Nd 0.873 0.127 0.636
Nd 0.793 0.207 0.220
Ru 0.517 0.483 0.710
Ru 0.854 0.707 0.062
Nd 0.795 0.590 0.782
Nd 0.459 0.541 0.856
Cd 0.788 0.894 0.863
Nd 0.254 0.127 0.636
Nd 0.413 0.207 0.490
Ru 0.854 0.146 0.062
Nd 0.541 0.459 0.356
Nd 0.793 0.207 0.490
Nd 0.873 0.746 0.636
Nd 0.919 0.460 0.085
Nd 0.207 0.414 0.447
Ru 0.146 0.854 0.562
Nd 0.793 0.586 0.220
Cd 0.106 0.894 0.863
Nd 0.919 0.459 0.356
Nd 0.587 0.793 0.990
Ru 0.146 0.293 0.562
Nd 0.746 0.873 0.136
Cd 0.106 0.212 0.863
Nd 0.207 0.793 0.720
Nd 0.540 0.081 0.085
Nd 0.460 0.919 0.585
Nd 0.205 0.410 0.282
Nd 0.207 0.413 0.990
Nd 0.540 0.460 0.085
Nd 0.081 0.540 0.585
Nd 0.333 0.667 0.146
Ru 0.667 0.333 0.868
Cd 0.894 0.788 0.363
Ru 0.293 0.146 0.062
Nd 0.000 0.000 0.500
Ru 0.707 0.854 0.562
Nd 0.081 0.541 0.856
Cd 0.894 0.106 0.363
Nd 0.207 0.793 0.990
Nd 0.541 0.081 0.356
Cd 0.000 0.000 0.250
Nd 0.205 0.795 0.282
Nd 0.460 0.540 0.585
Nd 0.414 0.207 0.947
Ru 0.333 0.667 0.368
Ru 0.483 0.966 0.210
Nd 0.793 0.587 0.490
Nd 0.795 0.205 0.782
Nd 0.793 0.586 0.947
Ru 0.483 0.517 0.210
Nd 0.590 0.795 0.282
Nd 0.586 0.793 0.447
Nd 0.127 0.254 0.136
Nd 0.410 0.205 0.782
Ru 0.517 0.034 0.710
Nd 0.207 0.414 0.720
Nd 0.127 0.873 0.136
Ru 0.034 0.517 0.210
Nd 0.667 0.333 0.646
Nd 0.459 0.919 0.856
Cd 0.000 0.000 0.750
Nd 0.414 0.207 0.220